First-principles (PBE with a Hubbard U) data for a relaxed ErNiF5 crystal, as listed in Alexandria via LeMat-Bulk.

Calculated values
Space-group type: C2/c, No. 15
E_tot, eV per cell: -79.01
Size of the total moment, μB per formula unit: 2.0

Cell lengths 5.558, 5.558, 7.506 Å; angles 70.50, 70.50, 72.62 degrees
Last column: magnetic moment on the atom in μB.
Positions (direct):
Ni1 0.000 0.000 0.500  1.84
Ni2 0.000 0.000 0.000  1.84
F1 0.107 0.893 0.250  0.04
F2 0.302 0.678 0.965  0.02
F3 0.893 0.107 0.750  0.04
F4 0.698 0.322 0.035  0.02
F5 0.732 0.784 0.125  0.02
F6 0.216 0.268 0.375  0.02
F7 0.678 0.302 0.465  0.02
F8 0.784 0.732 0.625  0.02
F9 0.322 0.698 0.535  0.02
F10 0.268 0.216 0.875  0.02
Er1 0.554 0.446 0.750  0.02
Er2 0.446 0.554 0.250  0.02